i) Here is a geometry-optimized TcPt2 structure from the Alexandria database. Energies are from PBE-GGA.

Properties
- magnetic moment (μB/f.u.) = 0.00

a b c (Å): 5.1587 5.1587 5.1587
angles (deg): 60.00 60.00 60.00
Positions (direct):
Tc (0.1250, 0.1250, 0.1250)
Tc (0.8750, 0.8750, 0.8750)
Pt (0.0000, 0.5000, 0.5000)
Pt (0.5000, 0.0000, 0.5000)
Pt (0.5000, 0.5000, 0.0000)
Pt (0.5000, 0.5000, 0.5000)

ii) Here is a geometry-optimized TcPt2 structure from the Alexandria database. Energies are from PBE-GGA.

Properties
- magnetic moment (μB/f.u.) = 1.06

a b c (Å): 4.4544 4.4544 5.4712
angles (deg): 90.00 90.00 120.00
Positions (direct):
Tc (0.3333, 0.6667, 0.2500)
Tc (0.6667, 0.3333, 0.7500)
Pt (0.0000, 0.0000, 0.0000)
Pt (0.0000, 0.0000, 0.5000)
Pt (0.3333, 0.6667, 0.7500)
Pt (0.6667, 0.3333, 0.2500)

Relative energy table, unit kJ/mol of atoms: i) 26.9; ii) 0.0

i) Here is a geometry-optimized TcPt2 structure from the Alexandria database. Energies are from PBE-GGA.

Properties
- magnetic moment (μB/f.u.) = 0.00

a b c (Å): 6.0776 6.0776 6.0776
angles (deg): 90.00 90.00 90.00
Positions (direct):
Tc (0.0000, 0.0000, 0.0000)
Tc (0.0000, 0.5000, 0.5000)
Tc (0.5000, 0.0000, 0.5000)
Tc (0.5000, 0.5000, 0.0000)
Pt (0.1207, 0.6207, 0.8793)
Pt (0.1207, 0.8793, 0.3793)
Pt (0.3793, 0.1207, 0.8793)
Pt (0.3793, 0.3793, 0.3793)
Pt (0.6207, 0.6207, 0.6207)
Pt (0.6207, 0.8793, 0.1207)
Pt (0.8793, 0.1207, 0.6207)
Pt (0.8793, 0.3793, 0.1207)

ii) Here is a geometry-optimized TcPt2 structure from the Alexandria database. Energies are from PBE-GGA.

Properties
- magnetic moment (μB/f.u.) = 0.00

a b c (Å): 2.7401 2.7401 25.0081
angles (deg): 90.00 90.00 90.00
Positions (direct):
Tc (0.0000, 0.2500, 0.3750)
Tc (0.0000, 0.7500, 0.6250)
Tc (0.5000, 0.2500, 0.1250)
Tc (0.5000, 0.7500, 0.8750)
Pt (0.0000, 0.2500, 0.7986)
Pt (0.0000, 0.2500, 0.9514)
Pt (0.0000, 0.7500, 0.0486)
Pt (0.0000, 0.7500, 0.2014)
Pt (0.5000, 0.2500, 0.5486)
Pt (0.5000, 0.2500, 0.7014)
Pt (0.5000, 0.7500, 0.2986)
Pt (0.5000, 0.7500, 0.4514)

iii) Here is a geometry-optimized TcPt2 structure from the Alexandria database. Energies are from PBE-GGA.

Properties
- magnetic moment (μB/f.u.) = 0.00

a b c (Å): 7.6295 7.6295 2.7421
angles (deg): 90.00 90.00 120.00
Positions (direct):
Tc (0.0000, 0.0000, 0.0000)
Tc (0.3333, 0.6667, 0.5000)
Tc (0.6667, 0.3333, 0.5000)
Pt (0.0000, 0.2993, 0.5000)
Pt (0.0000, 0.6326, 0.0000)
Pt (0.2993, 0.0000, 0.5000)
Pt (0.3674, 0.3674, 0.0000)
Pt (0.6326, 0.0000, 0.0000)
Pt (0.7007, 0.7007, 0.5000)

Relative energy table, unit kJ/mol of atoms: i) 79.7; ii) 0.0; iii) 8.5

i) Here is a geometry-optimized TcPt2 structure from the Alexandria database. Energies are from PBE-GGA.

Properties
- magnetic moment (μB/f.u.) = 0.00

a b c (Å): 2.7779 2.7779 6.8379
angles (deg): 90.00 90.00 120.00
Positions (direct):
Tc (0.0000, 0.0000, 0.0000)
Pt (0.3333, 0.6667, 0.6772)
Pt (0.6667, 0.3333, 0.3228)

ii) Here is a geometry-optimized TcPt2 structure from the Alexandria database. Energies are from PBE-GGA.

Properties
- magnetic moment (μB/f.u.) = 0.00

a b c (Å): 3.6626 3.6626 4.6366
angles (deg): 90.00 90.00 120.00
Positions (direct):
Tc (0.0000, 0.0000, 0.0000)
Pt (0.3333, 0.6667, 0.3007)
Pt (0.6667, 0.3333, 0.6993)

Relative energy table, unit kJ/mol of atoms: i) 0.0; ii) 66.3

i) Here is a geometry-optimized TcPt2 structure from the Alexandria database. Energies are from PBE-GGA.

Properties
- magnetic moment (μB/f.u.) = 0.00

a b c (Å): 2.8026 2.8026 20.2153
angles (deg): 90.00 90.00 120.00
Positions (direct):
Tc (0.0000, 0.0000, 0.0000)
Tc (0.3333, 0.6667, 0.6667)
Tc (0.6667, 0.3333, 0.3333)
Pt (0.0000, 0.0000, 0.5590)
Pt (0.0000, 0.0000, 0.7729)
Pt (0.3333, 0.6667, 0.2257)
Pt (0.3333, 0.6667, 0.4396)
Pt (0.6667, 0.3333, 0.1063)
Pt (0.6667, 0.3333, 0.8924)

ii) Here is a geometry-optimized TcPt2 structure from the Alexandria database. Energies are from PBE-GGA.

Properties
- magnetic moment (μB/f.u.) = 0.00

a b c (Å): 2.7570 2.7570 11.9833
angles (deg): 90.00 90.00 90.00
Positions (direct):
Tc (0.0000, 0.0000, 0.0000)
Tc (0.5000, 0.5000, 0.5000)
Pt (0.0000, 0.0000, 0.3410)
Pt (0.0000, 0.0000, 0.6590)
Pt (0.5000, 0.5000, 0.1590)
Pt (0.5000, 0.5000, 0.8410)

Relative energy table, unit kJ/mol of atoms: i) 7.9; ii) 0.0

i) Here is a geometry-optimized TcPt2 structure from the Alexandria database. Energies are from PBE-GGA.

Properties
- magnetic moment (μB/f.u.) = 0.00

a b c (Å): 8.3294 4.8159 4.5436
angles (deg): 90.00 90.00 90.00
Positions (direct):
Tc (0.0000, 0.1646, 0.2500)
Tc (0.0000, 0.8354, 0.7500)
Tc (0.5000, 0.3354, 0.7500)
Tc (0.5000, 0.6646, 0.2500)
Pt (0.1628, 0.3239, 0.7500)
Pt (0.1628, 0.6761, 0.2500)
Pt (0.3372, 0.1761, 0.2500)
Pt (0.3372, 0.8239, 0.7500)
Pt (0.6628, 0.1761, 0.2500)
Pt (0.6628, 0.8239, 0.7500)
Pt (0.8372, 0.3239, 0.7500)
Pt (0.8372, 0.6761, 0.2500)

ii) Here is a geometry-optimized TcPt2 structure from the Alexandria database. Energies are from PBE-GGA.

Properties
- magnetic moment (μB/f.u.) = 0.00

a b c (Å): 2.6983 3.8922 19.0698
angles (deg): 90.00 90.00 90.00
Positions (direct):
Tc (0.0000, 0.2500, 0.1149)
Tc (0.0000, 0.7500, 0.8851)
Tc (0.5000, 0.2500, 0.3851)
Tc (0.5000, 0.7500, 0.6149)
Pt (0.0000, 0.2500, 0.5474)
Pt (0.0000, 0.2500, 0.6887)
Pt (0.0000, 0.7500, 0.3113)
Pt (0.0000, 0.7500, 0.4526)
Pt (0.5000, 0.2500, 0.8113)
Pt (0.5000, 0.2500, 0.9526)
Pt (0.5000, 0.7500, 0.0474)
Pt (0.5000, 0.7500, 0.1887)

iii) Here is a geometry-optimized TcPt2 structure from the Alexandria database. Energies are from PBE-GGA.

Properties
- magnetic moment (μB/f.u.) = 0.00

a b c (Å): 12.1425 12.1425 12.1425
angles (deg): 161.34 161.34 26.51
Positions (direct):
Tc (0.2859, 0.5359, 0.7500)
Tc (0.4641, 0.7141, 0.7500)
Tc (0.5359, 0.2859, 0.2500)
Tc (0.7141, 0.4641, 0.2500)
Pt (0.0406, 0.7906, 0.2500)
Pt (0.1237, 0.3737, 0.7500)
Pt (0.2094, 0.9594, 0.2500)
Pt (0.3737, 0.1237, 0.2500)
Pt (0.6263, 0.8763, 0.7500)
Pt (0.7906, 0.0406, 0.7500)
Pt (0.8763, 0.6263, 0.2500)
Pt (0.9594, 0.2094, 0.7500)

Relative energy table, unit kJ/mol of atoms: i) 0.0; ii) 28.0; iii) 3.9

i) Here is a geometry-optimized TcPt2 structure from the Alexandria database. Energies are from PBE-GGA.

Properties
- magnetic moment (μB/f.u.) = 0.00

a b c (Å): 6.2949 6.2949 4.9116
angles (deg): 90.00 90.00 90.00
Positions (direct):
Tc (0.0000, 0.0000, 0.2500)
Tc (0.0000, 0.0000, 0.7500)
Tc (0.5000, 0.5000, 0.2500)
Tc (0.5000, 0.5000, 0.7500)
Pt (0.1458, 0.3542, 0.0000)
Pt (0.1458, 0.6458, 0.5000)
Pt (0.3542, 0.1458, 0.5000)
Pt (0.3542, 0.8542, 0.0000)
Pt (0.6458, 0.1458, 0.0000)
Pt (0.6458, 0.8542, 0.5000)
Pt (0.8542, 0.3542, 0.5000)
Pt (0.8542, 0.6458, 0.0000)

ii) Here is a geometry-optimized TcPt2 structure from the Alexandria database. Energies are from PBE-GGA.

Properties
- magnetic moment (μB/f.u.) = 0.00

a b c (Å): 10.2721 2.8004 6.5923
angles (deg): 90.00 104.91 90.00
Positions (direct):
Tc (0.0000, 0.0000, 0.0000)
Tc (0.1531, 0.5000, 0.3107)
Tc (0.5000, 0.5000, 0.0000)
Tc (0.6531, 0.0000, 0.3107)
Pt (0.1008, 0.5000, 0.7155)
Pt (0.2717, 0.0000, 0.0468)
Pt (0.3241, 0.0000, 0.6529)
Pt (0.4403, 0.5000, 0.3737)
Pt (0.6008, 0.0000, 0.7155)
Pt (0.7717, 0.5000, 0.0468)
Pt (0.8241, 0.5000, 0.6529)
Pt (0.9403, 0.0000, 0.3737)

Relative energy table, unit kJ/mol of atoms: i) 24.4; ii) 0.0